1.
Compound: GdMgZn2
Source: Alexandria
Functional: GGA-PBE
Structure: optimized geometry

Output
Total moment = 1.879 μB/atom
Space group = P4/mmm
DFT formation energy = -85 kJ/mol of formula units
Relative energy among the computed polymorphs = 107.1 meV/atom
V = 85.1 Å³ per cell

a = 4.802 Å, b = 4.802 Å, c = 3.689 Å
α = 90.00°, β = 90.00°, γ = 90.00°
Sites, in units of the cell vectors:
Gd: 0.000 0.000 0.000
Mg: 0.500 0.500 0.000
Zn: 0.000 0.500 0.500
Zn: 0.500 0.000 0.500

2.
Compound: RbDy2Ag3Te5
Source: Alexandria
Functional: GGA-PBE
Structure: optimized geometry

Output
Formation energy without anion corrections = -0.87 eV/atom
Total moment = 0.000 μB/atom
Space group = Cmcm
V = 688.3 Å³ per cell

a = 8.465 Å, b = 8.465 Å, c = 18.465 Å
α = 90.00°, β = 90.00°, γ = 148.65°
Sites, in units of the cell vectors:
Rb: 0.057 0.943 0.750
Rb: 0.943 0.057 0.250
Dy: 0.190 0.810 0.094
Dy: 0.190 0.810 0.406
Dy: 0.810 0.190 0.594
Dy: 0.810 0.190 0.906
Ag: 0.336 0.664 0.750
Ag: 0.414 0.586 0.031
Ag: 0.414 0.586 0.469
Ag: 0.586 0.414 0.531
Ag: 0.586 0.414 0.969
Ag: 0.664 0.336 0.250
Te: 0.177 0.823 0.573
Te: 0.177 0.823 0.927
Te: 0.260 0.740 0.250
Te: 0.438 0.562 0.621
Te: 0.438 0.562 0.879
Te: 0.562 0.438 0.121
Te: 0.562 0.438 0.379
Te: 0.740 0.260 0.750
Te: 0.823 0.177 0.073
Te: 0.823 0.177 0.427